(1)
RhN2F2 (GGA-PBE, optimized geometry); space-group type = P4/mmm (123); V = 60 Å³ per cell; uncorrected formation energy = 0.700 eV/atom; relative energy among the computed polymorphs = 829 meV/atom
1.0
3.836 0.000 0.000
0.000 3.836 0.000
0.000 0.000 4.044
N F Rh
2 2 1
Direct
0.500 0.000 0.000
0.000 0.500 0.000
0.500 0.500 0.500
0.000 0.000 0.500
0.000 0.000 0.000

(2)
RhN2F2 (GGA-PBE, optimized geometry); space-group type = P4/mmm (123); V = 54 Å³ per cell; uncorrected formation energy = 1.971 eV/atom; relative energy among the computed polymorphs = 2100 meV/atom
1.0
-2.400 1.996 1.666
-2.239 -0.433 -2.706
-1.605 -3.508 1.890
N Rh F
2 1 2
Direct
0.500 0.000 0.000
0.000 0.500 0.000
0.500 0.500 0.500
0.000 0.000 0.500
0.000 0.000 0.000

(3)
RhS2NF (GGA-PBE, optimized geometry); space-group type = P4/mmm (123); V = 87 Å³ per cell; uncorrected formation energy = 0.710 eV/atom; relative energy among the computed polymorphs = 0 meV/atom
1.0
-4.377 -0.872 -1.949
0.321 -4.664 1.366
-1.585 0.825 3.190
N S Rh F
1 2 1 1
Direct
0.000 0.000 0.500
0.000 0.500 0.000
0.500 0.000 0.000
0.000 0.000 0.000
0.500 0.500 0.500

(4)
RhS2NF (GGA-PBE, optimized geometry); space-group type = P4/mmm (123); V = 70 Å³ per cell; uncorrected formation energy = 1.652 eV/atom; relative energy among the computed polymorphs = 941 meV/atom
1.0
4.389 0.000 0.000
0.000 4.389 0.000
0.000 0.000 3.649
Rh S F N
1 2 1 1
Direct
0.500 0.500 0.500
0.000 0.500 0.000
0.500 0.000 0.000
0.000 0.000 0.000
0.000 0.000 0.500

(5)
RhSN2F (GGA-PBE, optimized geometry); space-group type = P4/mmm (123); V = 53 Å³ per cell; uncorrected formation energy = 1.451 eV/atom; relative energy among the computed polymorphs = 363 meV/atom
1.0
3.725 0.000 0.000
0.000 3.725 0.000
0.000 0.000 3.795
N F S Rh
2 1 1 1
Direct
0.000 0.500 0.000
0.500 0.000 0.000
0.000 0.000 0.500
0.000 0.000 0.000
0.500 0.500 0.500

(6)
RhSN2F (GGA-PBE, optimized geometry); space-group type = P4/mmm (123); V = 58 Å³ per cell; uncorrected formation energy = 2.282 eV/atom; relative energy among the computed polymorphs = 1195 meV/atom
1.0
-3.721 0.301 -0.295
-0.421 -2.615 2.648
0.008 2.949 2.914
F N Rh S
1 2 1 1
Direct
0.000 0.000 0.000
0.500 0.000 0.000
0.000 0.500 0.000
0.500 0.500 0.500
0.000 0.000 0.500

Which of these has the lowest relative energy among the computed polymorphs?
number 3